# CeNdEu

Crystalline CeNdEu at its relaxed geometry (PBE, Alexandria via LeMat-Bulk).

a = 3.6478 Å, b = 3.6478 Å, c = 9.0908 Å
α = 90.00°, β = 90.00°, γ = 120.00°
Site moments in Bohr magnetons follow the coordinates.
Fractional coordinates of all 3 atoms:
1 Ce 0.3333 0.6667 0.6591  0.82
2 Eu 0.0000 0.0000 0.9948  7.01
3 Nd 0.6667 0.3333 0.3461  -0.01

Properties
volume = 34.92 Å³ per atom
space group = No. 156
magnetization = 8.54 μB/cell
energy of formation = 118.4 meV per atom
distance to the lowest polymorph of the same formula = 3 meV/atom

=====

# CaPuGaO5

Crystalline CaPuGaO5 at its relaxed geometry (PBE, Alexandria via LeMat-Bulk).

a = 5.8740 Å, b = 5.8740 Å, c = 7.7882 Å
α = 103.91°, β = 103.91°, γ = 107.20°
Site moments in Bohr magnetons follow the coordinates.
Fractional coordinates of all 16 atoms:
1 O 0.3716 0.2692 0.0834  -0.07
2 O 0.6284 0.7308 0.9166  -0.07
3 O 0.3251 0.9142 0.6231  -0.05
4 O 0.6749 0.0858 0.3769  -0.05
5 O 0.9117 0.0883 0.7500  -0.13
6 O 0.0883 0.9117 0.2500  -0.13
7 O 0.9142 0.3251 0.1231  -0.05
8 O 0.0858 0.6749 0.8769  -0.05
9 O 0.2692 0.3716 0.5834  -0.07
10 O 0.7308 0.6284 0.4166  -0.07
11 Ga 0.6831 0.3169 0.2500  0.00
12 Ga 0.3169 0.6831 0.7500  0.00
13 Pu 0.0000 0.0000 0.5000  3.37
14 Pu 0.0000 0.0000 0.0000  3.37
15 Ca 0.6642 0.3358 0.7500  0.00
16 Ca 0.3358 0.6642 0.2500  0.00

Properties
volume = 14.67 Å³ per atom
space group = No. 15
formation energy (no corrections) = -2.57 eV/atom
magnetization = 6.00 μB/cell

=====

# Ta7BiO19

Crystalline Ta7BiO19 at its relaxed geometry (PBE, Alexandria via LeMat-Bulk).

a = 6.2939 Å, b = 6.2939 Å, c = 20.2972 Å
α = 90.00°, β = 90.00°, γ = 120.00°
Fractional coordinates of all 54 atoms:
1 O 0.0000 0.6066 0.0000
2 O 0.3934 0.3934 0.0000
3 O 0.3333 0.6667 0.6121
4 O 0.6066 0.6066 0.5000
5 O 0.9977 0.2429 0.0968
6 O 0.2451 0.0023 0.0968
7 O 0.3333 0.6667 0.8879
8 O 0.6066 0.0000 0.0000
9 O 0.9527 0.3835 0.6936
10 O 0.9527 0.5692 0.8064
11 O 0.0023 0.2451 0.9032
12 O 0.4308 0.3835 0.8064
13 O 0.0023 0.7571 0.5968
14 O 0.0473 0.6165 0.1936
15 O 0.6667 0.3333 0.5905
16 O 0.3934 0.0000 0.5000
17 O 0.3835 0.9527 0.3064
18 O 0.7549 0.9977 0.5968
19 O 0.6165 0.5692 0.6936
20 O 0.6667 0.3333 0.9095
21 O 0.7549 0.7571 0.9032
22 O 0.3333 0.6667 0.0905
23 O 0.6667 0.3333 0.1121
24 O 0.0473 0.4308 0.3064
25 O 0.6165 0.0473 0.8064
26 O 0.6667 0.3333 0.3879
27 O 0.5692 0.6165 0.3064
28 O 0.7571 0.0023 0.4032
29 O 0.3835 0.4308 0.1936
30 O 0.3333 0.6667 0.4095
31 O 0.2429 0.9977 0.9032
32 O 0.0000 0.3934 0.5000
33 O 0.9977 0.7549 0.4032
34 O 0.4308 0.0473 0.6936
35 O 0.2429 0.2451 0.5968
36 O 0.2451 0.2429 0.4032
37 O 0.7571 0.7549 0.0968
38 O 0.5692 0.9527 0.1936
39 Ta 0.3564 0.3590 0.0942
40 Ta 0.3590 0.0026 0.5942
41 Ta 0.6410 0.9974 0.0942
42 Ta 0.3333 0.6667 0.2500
43 Ta 0.0026 0.3590 0.4058
44 Ta 0.9974 0.6410 0.9058
45 Ta 0.6436 0.6410 0.5942
46 Ta 0.6436 0.0026 0.9058
47 Ta 0.0026 0.6436 0.0942
48 Ta 0.3590 0.3564 0.9058
49 Ta 0.9974 0.3564 0.5942
50 Ta 0.3564 0.9974 0.4058
51 Ta 0.6410 0.6436 0.4058
52 Ta 0.6667 0.3333 0.7500
53 Bi 0.3333 0.6667 0.7500
54 Bi 0.6667 0.3333 0.2500

Properties
volume = 12.89 Å³ per atom
space group = No. 182
formation energy (no corrections) = -2.70 eV/atom
magnetization = 0.00 μB/cell
distance to the lowest polymorph of the same formula = 7 meV/atom

=====

# PrNdP2

Crystalline PrNdP2 at its relaxed geometry (PBE, Alexandria via LeMat-Bulk).

a = 4.1885 Å, b = 4.1885 Å, c = 7.2465 Å
α = 73.20°, β = 73.20°, γ = 60.00°
Fractional coordinates of all 4 atoms:
1 Nd 0.5000 0.5000 0.5000
2 P 0.2493 0.2493 0.2522
3 P 0.7507 0.7507 0.7478
4 Pr 0.0000 0.0000 0.0000

Properties
volume = 25.95 Å³ per atom
space group = No. 166
magnetization = 0.00 μB/cell
energy of formation = -1527.6 meV per atom
distance to the lowest polymorph of the same formula = 2 meV/atom

=====

# MgSb2Rh

Crystalline MgSb2Rh at its relaxed geometry (PBE, Alexandria via LeMat-Bulk).

a = 5.0894 Å, b = 5.0894 Å, c = 6.3236 Å
α = 71.72°, β = 71.72°, γ = 37.87°
Fractional coordinates of all 4 atoms:
1 Sb 0.9134 0.9134 0.0349
2 Sb 0.7212 0.7212 0.7316
3 Rh 0.2918 0.2918 0.3816
4 Mg 0.5736 0.5736 0.3520

Properties
volume = 23.71 Å³ per atom
space group = No. 8
formation energy (no corrections) = -0.26 eV/atom
magnetization = 0.00 μB/cell

=====

# Ba2SrZnPt

Crystalline Ba2SrZnPt at its relaxed geometry (PBE, Alexandria via LeMat-Bulk).

a = 6.1827 Å, b = 6.1827 Å, c = 5.8829 Å
α = 90.00°, β = 90.00°, γ = 90.00°
Fractional coordinates of all 5 atoms:
1 Pt 0.0000 0.0000 0.0000
2 Zn 0.5000 0.5000 0.5000
3 Ba 0.5000 0.0000 0.0000
4 Ba 0.0000 0.5000 0.0000
5 Sr 0.0000 0.0000 0.5000

Properties
volume = 44.98 Å³ per atom
space group = No. 123
magnetization = 0.00 μB/cell
energy of formation = -303.5 meV per atom
distance to the lowest polymorph of the same formula = 0 meV/atom

=====

# Na2ZnInAu2

Crystalline Na2ZnInAu2 at its relaxed geometry (PBE, Alexandria via LeMat-Bulk).

a = 6.2651 Å, b = 7.6279 Å, c = 8.0244 Å
α = 118.38°, β = 112.98°, γ = 90.00°
Fractional coordinates of all 12 atoms:
1 Na 0.1830 0.5061 0.3660
2 Na 0.3170 0.1401 0.6340
3 Na 0.6830 0.8599 0.3660
4 Na 0.8170 0.4939 0.6340
5 Au 0.0888 0.8189 0.1775
6 Au 0.5888 0.3587 0.1775
7 Au 0.9112 0.1811 0.8225
8 Au 0.4112 0.6413 0.8225
9 Zn 0.2500 0.5000 0.0000
10 Zn 0.7500 0.5000 0.0000
11 In 0.2500 0.0000 0.0000
12 In 0.7500 0.0000 0.0000

Properties
volume = 25.20 Å³ per atom
space group = No. 72
magnetization = 0.00 μB/cell
energy of formation = -238.3 meV per atom

=====

The records above give, respectively, total DFT energy (no corrections) values of -6.874 -8.089 -9.407 -6.619 -4.561 -2.872 -2.439 eV/atom.